(1)
# PBE AlFeSn3, relaxed
# Total moment ... 0.0000 μB/atom
# VASP energy ... -4.5370 eV per atom
# Energy of formation ... 1.53 eV/f.u.
data_AlFeSn3
_cell_length_a 4.940
_cell_length_b 4.940
_cell_length_c 4.940
_cell_angle_alpha 90.00
_cell_angle_beta 90.00
_cell_angle_gamma 90.00
_space_group_name_H-M_alt 'P m -3 m'
_space_group_IT_number 221
_space_group_name_Hall '-P 4 2 3'
loop_
_atom_site_label
_atom_site_fract_x
_atom_site_fract_y
_atom_site_fract_z
Al1 0.000 0.000 0.000
Fe1 0.500 0.500 0.500
Sn1 0.000 0.500 0.500

(2)
# PBE AlFe2Sn, relaxed
# Total moment ... 0.0761 μB/atom
# VASP energy ... -6.1795 eV per atom
# Energy of formation ... -0.05 eV/f.u.
data_AlFe2Sn
_cell_length_a 5.988
_cell_length_b 5.988
_cell_length_c 5.988
_cell_angle_alpha 90.00
_cell_angle_beta 90.00
_cell_angle_gamma 90.00
_space_group_name_H-M_alt 'F m -3 m'
_space_group_IT_number 225
_space_group_name_Hall '-F 4 2 3'
loop_
_atom_site_label
_atom_site_fract_x
_atom_site_fract_y
_atom_site_fract_z
Al1 0.000 0.000 0.000
Fe1 0.250 0.250 0.250
Sn1 0.000 0.000 0.500

(3)
# PBE AlFeSn3, relaxed
# Total moment ... 0.0350 μB/atom
# VASP energy ... -3.5983 eV per atom
# Energy of formation ... 6.22 eV/f.u.
data_AlFeSn3
_cell_length_a 5.206
_cell_length_b 5.206
_cell_length_c 5.206
_cell_angle_alpha 90.00
_cell_angle_beta 90.00
_cell_angle_gamma 90.00
_space_group_name_H-M_alt 'P m -3 m'
_space_group_IT_number 221
_space_group_name_Hall '-P 4 2 3'
loop_
_atom_site_label
_atom_site_fract_x
_atom_site_fract_y
_atom_site_fract_z
Al1 0.000 0.000 0.000
Fe1 0.500 0.500 0.500
Sn1 0.000 0.000 0.500

(4)
# PBE AlFe4Sn, relaxed
# Total moment ... 1.3697 μB/atom
# VASP energy ... -6.9109 eV per atom
# Energy of formation ... 0.13 eV/f.u.
data_AlFe4Sn
_cell_length_a 6.896
_cell_length_b 6.896
_cell_length_c 6.896
_cell_angle_alpha 90.00
_cell_angle_beta 90.00
_cell_angle_gamma 90.00
_space_group_name_H-M_alt 'F -4 3 m'
_space_group_IT_number 216
_space_group_name_Hall 'F -4 2 3'
loop_
_atom_site_label
_atom_site_fract_x
_atom_site_fract_y
_atom_site_fract_z
Al1 0.000 0.000 0.000
Fe1 0.126 0.126 0.374
Sn1 0.250 0.250 0.750

(5)
# PBE AlFe3Sn, relaxed
# Total moment ... 1.6710 μB/atom
# VASP energy ... -5.2545 eV per atom
# Energy of formation ... 6.86 eV/f.u.
data_AlFe3Sn
_cell_length_a 4.793
_cell_length_b 4.793
_cell_length_c 4.793
_cell_angle_alpha 90.00
_cell_angle_beta 90.00
_cell_angle_gamma 90.00
_space_group_name_H-M_alt 'P m -3 m'
_space_group_IT_number 221
_space_group_name_Hall '-P 4 2 3'
loop_
_atom_site_label
_atom_site_fract_x
_atom_site_fract_y
_atom_site_fract_z
Al1 0.000 0.000 0.000
Fe1 0.000 0.500 0.500
Sn1 0.500 0.500 0.500

(6)
# PBE AlFe2Sn, relaxed
# Total moment ... 0.1163 μB/atom
# VASP energy ... -6.1559 eV per atom
# Energy of formation ... 0.05 eV/f.u.
data_AlFe2Sn
_cell_length_a 4.212
_cell_length_b 4.212
_cell_length_c 3.040
_cell_angle_alpha 90.00
_cell_angle_beta 90.00
_cell_angle_gamma 90.00
_space_group_name_H-M_alt 'P 4/m m m'
_space_group_IT_number 123
_space_group_name_Hall '-P 4 2'
loop_
_atom_site_label
_atom_site_fract_x
_atom_site_fract_y
_atom_site_fract_z
Al1 0.000 0.000 0.000
Fe1 0.000 0.500 0.500
Sn1 0.500 0.500 0.000

(7)
# PBE YAlFe2Sn, relaxed
# Total moment ... 1.0123 μB/atom
# VASP energy ... -4.7260 eV per atom
# Energy of formation ... 7.50 eV/f.u.
data_YAlFe2Sn
_cell_length_a 4.857
_cell_length_b 4.857
_cell_length_c 5.746
_cell_angle_alpha 90.00
_cell_angle_beta 90.00
_cell_angle_gamma 90.00
_space_group_name_H-M_alt 'P 4/m m m'
_space_group_IT_number 123
_space_group_name_Hall '-P 4 2'
loop_
_atom_site_label
_atom_site_fract_x
_atom_site_fract_y
_atom_site_fract_z
Y1 0.000 0.000 0.000
Al1 0.500 0.500 0.500
Fe1 0.000 0.500 0.000
Sn1 0.000 0.000 0.500

(8)
# PBE Sr2AlFe, relaxed
# Total moment ... 0.6551 μB/atom
# VASP energy ... -3.4854 eV per atom
# Energy of formation ... 1.63 eV/f.u.
data_Sr2AlFe
_cell_length_a 3.673
_cell_length_b 3.647
_cell_length_c 8.608
_cell_angle_alpha 90.00
_cell_angle_beta 90.09
_cell_angle_gamma 90.00
_space_group_name_H-M_alt 'P 1 2/m 1'
_space_group_IT_number 10
loop_
_space_group_symop_operation_xyz
'x,y,z'
'-x,-y,-z'
'-x,y,-z'
'x,-y,z'
loop_
_atom_site_label
_atom_site_fract_x
_atom_site_fract_y
_atom_site_fract_z
Sr1 0.000 0.000 0.238
Al1 0.500 0.500 0.500
Fe1 0.500 0.500 0.000

(9)
# PBE SrAl2Fe, relaxed
# Total moment ... 0.6197 μB/atom
# VASP energy ... -3.9504 eV per atom
# Energy of formation ... 1.83 eV/f.u.
data_SrAl2Fe
_cell_length_a 5.922
_cell_length_b 9.557
_cell_length_c 2.904
_cell_angle_alpha 90.00
_cell_angle_beta 90.23
_cell_angle_gamma 90.00
_space_group_name_H-M_alt 'C 1 2/m 1'
_space_group_IT_number 12
loop_
_space_group_symop_operation_xyz
'x,y,z'
'-x,-y,-z'
'-x,y,-z'
'x,-y,z'
'x+1/2,y+1/2,z'
'-x+1/2,-y+1/2,-z'
'-x+1/2,y+1/2,-z'
'x+1/2,-y+1/2,z'
loop_
_atom_site_label
_atom_site_fract_x
_atom_site_fract_y
_atom_site_fract_z
Sr1 0.000 0.000 0.000
Al1 0.250 0.250 0.500
Fe1 0.000 0.500 0.000

(10)
# PBE SrAl2Fe, relaxed
# Total moment ... 0.6286 μB/atom
# VASP energy ... -3.8875 eV per atom
# Energy of formation ... 2.08 eV/f.u.
data_SrAl2Fe
_cell_length_a 5.259
_cell_length_b 3.076
_cell_length_c 5.431
_cell_angle_alpha 90.00
_cell_angle_beta 107.17
_cell_angle_gamma 90.00
_space_group_name_H-M_alt 'P 1 2/m 1'
_space_group_IT_number 10
loop_
_space_group_symop_operation_xyz
'x,y,z'
'-x,-y,-z'
'-x,y,-z'
'x,-y,z'
loop_
_atom_site_label
_atom_site_fract_x
_atom_site_fract_y
_atom_site_fract_z
Sr1 0.000 0.000 0.000
Al1 0.000 0.500 0.500
Al2 0.500 0.000 0.500
Fe1 0.500 0.500 0.000

(11)
# PBE Sr2AlFe, relaxed
# Total moment ... 0.3609 μB/atom
# VASP energy ... -3.5220 eV per atom
# Energy of formation ... 1.48 eV/f.u.
data_Sr2AlFe
_cell_length_a 11.084
_cell_length_b 11.084
_cell_length_c 4.704
_cell_angle_alpha 90.00
_cell_angle_beta 90.00
_cell_angle_gamma 90.00
_space_group_name_H-M_alt 'I -4 2 d'
_space_group_IT_number 122
_space_group_name_Hall 'I -4 2bw'
loop_
_atom_site_label
_atom_site_fract_x
_atom_site_fract_y
_atom_site_fract_z
Sr1 0.072 0.250 0.125
Al1 0.000 0.000 0.500
Fe1 0.000 0.000 0.000

(12)
# PBE SrAl2Fe, relaxed
# Total moment ... 0.5075 μB/atom
# VASP energy ... -4.1494 eV per atom
# Energy of formation ... 1.03 eV/f.u.
data_SrAl2Fe
_cell_length_a 2.986
_cell_length_b 5.278
_cell_length_c 10.342
_cell_angle_alpha 90.00
_cell_angle_beta 90.00
_cell_angle_gamma 90.00
_space_group_name_H-M_alt 'I m m m'
_space_group_IT_number 71
_space_group_name_Hall '-I 2 2'
loop_
_atom_site_label
_atom_site_fract_x
_atom_site_fract_y
_atom_site_fract_z
Sr1 0.000 0.000 0.000
Al1 0.000 0.500 0.202
Fe1 0.000 0.000 0.500

(13)
# PBE SrAl2Fe, relaxed
# Total moment ... 0.6209 μB/atom
# VASP energy ... -4.0349 eV per atom
# Energy of formation ... 1.49 eV/f.u.
data_SrAl2Fe
_cell_length_a 6.803
_cell_length_b 6.812
_cell_length_c 6.891
_cell_angle_alpha 90.00
_cell_angle_beta 90.00
_cell_angle_gamma 90.00
_space_group_name_H-M_alt 'F 2 2 2'
_space_group_IT_number 22
_space_group_name_Hall 'F 2 2'
loop_
_atom_site_label
_atom_site_fract_x
_atom_site_fract_y
_atom_site_fract_z
Sr1 0.000 0.000 0.000
Al1 0.000 0.000 0.500
Al2 0.250 0.250 0.250
Fe1 0.250 0.250 0.750

(14)
# PBE SrAl2Fe, relaxed
# Total moment ... 0.2627 μB/atom
# VASP energy ... -4.1676 eV per atom
# Energy of formation ... 0.96 eV/f.u.
data_SrAl2Fe
_cell_length_a 5.208
_cell_length_b 5.208
_cell_length_c 15.721
_cell_angle_alpha 90.00
_cell_angle_beta 90.00
_cell_angle_gamma 90.00
_space_group_name_H-M_alt 'I 41/a m d'
_space_group_IT_number 141
loop_
_space_group_symop_operation_xyz
'x,y,z'
'-x,-y,-z'
'-y+1/4,x+3/4,z+1/4'
'y+1/4,-x+3/4,-z+1/4'
'-x+1/2,-y,z+1/2'
'x+1/2,y,-z+1/2'
'y+1/4,-x+1/4,z+3/4'
'-y+1/4,x+1/4,-z+3/4'
'x,-y,-z'
'-x,y,z'
'-y+1/4,-x+1/4,-z+3/4'
'y+1/4,x+1/4,z+3/4'
'-x+1/2,y,-z+1/2'
'x+1/2,-y,z+1/2'
'y+1/4,x+3/4,-z+1/4'
'-y+1/4,-x+3/4,z+1/4'
'x+1/2,y+1/2,z+1/2'
'-x+1/2,-y+1/2,-z+1/2'
'-y+3/4,x+1/4,z+3/4'
'y+3/4,-x+1/4,-z+3/4'
'-x,-y+1/2,z'
'x,y+1/2,-z'
'y+3/4,-x+3/4,z+1/4'
'-y+3/4,x+3/4,-z+1/4'
'x+1/2,-y+1/2,-z+1/2'
'-x+1/2,y+1/2,z+1/2'
'-y+3/4,-x+3/4,-z+1/4'
'y+3/4,x+3/4,z+1/4'
'-x,y+1/2,-z'
'x,-y+1/2,z'
'y+3/4,x+1/4,-z+3/4'
'-y+3/4,-x+1/4,z+3/4'
loop_
_atom_site_label
_atom_site_fract_x
_atom_site_fract_y
_atom_site_fract_z
Sr1 0.000 0.250 0.375
Al1 0.000 0.000 0.000
Fe1 0.000 0.250 0.875